Version one
The following is a meta-GGA SCAN calculation of NbPSe2N at its PBEsol-relaxed geometry, from Alexandria via LeMat-Bulk.

Structure (CIF):
```
data_NbPSe2N
_chemical_formula_sum 'Nb1 P1 Se2 N1'
_cell_length_a 3.825
_cell_length_b 5.087
_cell_length_c 5.087
_cell_angle_alpha 90.00
_cell_angle_beta 90.00
_cell_angle_gamma 90.00
_space_group_name_H-M_alt 'P 1'
_space_group_IT_number 1
loop_
_space_group_symop_operation_xyz
'x,y,z'
loop_
_atom_site_label
_atom_site_type_symbol
_atom_site_fract_x
_atom_site_fract_y
_atom_site_fract_z
_atom_site_occupancy
Se1 Se 0.000 0.000 0.500 1
Se2 Se 0.000 0.500 0.000 1
N1 N 0.500 0.000 0.000 1
P1 P 0.500 0.500 0.500 1
Nb1 Nb 0.000 0.000 0.000 1
```

Version two
The following is a meta-GGA SCAN calculation of NbPSe2N at its PBEsol-relaxed geometry, from Alexandria via LeMat-Bulk.

Structure (CIF):
```
data_NbPSe2N
_chemical_formula_sum 'Nb1 P1 Se2 N1'
_cell_length_a 3.251
_cell_length_b 4.916
_cell_length_c 4.916
_cell_angle_alpha 90.00
_cell_angle_beta 90.00
_cell_angle_gamma 90.00
_space_group_name_H-M_alt 'P 1'
_space_group_IT_number 1
loop_
_space_group_symop_operation_xyz
'x,y,z'
loop_
_atom_site_label
_atom_site_type_symbol
_atom_site_fract_x
_atom_site_fract_y
_atom_site_fract_z
_atom_site_occupancy
Se1 Se 0.000 0.000 0.500 1
Se2 Se 0.000 0.500 0.000 1
Nb1 Nb 0.500 0.500 0.500 1
N1 N 0.500 0.000 0.000 1
P1 P 0.000 0.000 0.000 1
```

Relative energies in meV/atom: version one 47; version two 0